[1]
Compound: LaTcAg2
Source: Alexandria
Functional: GGA-PBEsol
Structure: relaxed

Results
distance to the lowest polymorph of the same formula	80	meV/atom
VASP energy	-0.39942	Ry per atom
size of the total moment	0.000	μB per formula unit

Cell: 2.863 4.194 6.385 Å, 90.00 90.00 90.00°
Atoms (fractional coordinates):
Ag  0.500  0.500  0.208
Ag  0.000  0.000  0.999
Tc  0.500  0.500  0.775
La  0.000  0.000  0.518

[2]
Compound: MgZrReI2
Source: Alexandria
Functional: GGA-PBEsol
Structure: relaxed

Results
formation energy from raw total energies	0.852	eV per atom
VASP energy	-0.34417	Ry per atom
size of the total moment	0.378	μB per formula unit

Cell: 5.017 5.384 5.384 Å, 90.00 90.00 90.00°
Atoms (fractional coordinates):
I  0.000  0.000  0.500
I  0.000  0.500  0.000
Mg  0.500  0.500  0.500
Re  0.000  0.000  0.000
Zr  0.500  0.000  0.000

[3]
Compound: LaTlP2S6
Source: Alexandria
Functional: GGA-PBEsol
Structure: relaxed

Results
formation energy from raw total energies	-0.857	eV per atom
VASP energy	-0.40005	Ry per atom
size of the total moment	0.000	μB per formula unit

Cell: 7.463 11.249 11.837 Å, 109.73 90.00 90.00°
Atoms (fractional coordinates):
Tl  0.903  0.126  0.870
Tl  0.097  0.874  0.130
Tl  0.403  0.374  0.130
Tl  0.597  0.626  0.870
P  0.120  0.733  0.792
P  0.898  0.747  0.673
P  0.620  0.767  0.208
P  0.398  0.753  0.327
P  0.102  0.253  0.327
P  0.602  0.247  0.673
P  0.880  0.267  0.208
P  0.380  0.233  0.792
S  0.483  0.319  0.554
S  0.983  0.181  0.446
S  0.811  0.567  0.590
S  0.975  0.371  0.114
S  0.017  0.819  0.554
S  0.689  0.067  0.590
S  0.310  0.639  0.672
S  0.690  0.361  0.328
S  0.205  0.912  0.874
S  0.311  0.933  0.410
S  0.712  0.860  0.781
S  0.025  0.629  0.886
S  0.525  0.871  0.114
S  0.517  0.681  0.446
S  0.795  0.088  0.126
S  0.295  0.412  0.874
S  0.190  0.139  0.672
S  0.288  0.140  0.219
S  0.475  0.129  0.886
S  0.212  0.640  0.219
S  0.810  0.861  0.328
S  0.189  0.433  0.410
S  0.788  0.360  0.781
S  0.705  0.588  0.126
La  0.608  0.096  0.350
La  0.108  0.404  0.650
La  0.392  0.904  0.650
La  0.892  0.596  0.350

[4]
Compound: CsPRhS2
Source: Alexandria
Functional: GGA-PBEsol
Structure: relaxed

Results
formation energy from raw total energies	2.253	eV per atom
VASP energy	-0.18191	Ry per atom
size of the total moment	3.110	μB per formula unit

Cell: 5.262 5.262 5.233 Å, 90.00 90.00 90.00°
Atoms (fractional coordinates):
Cs  0.000  0.000  0.000
P  0.000  0.000  0.500
S  0.000  0.500  0.000
S  0.500  0.000  0.000
Rh  0.500  0.500  0.500

[5]
Compound: RbGa3Ru
Source: Alexandria
Functional: GGA-PBEsol
Structure: relaxed

Results
VASP energy	-0.32897	Ry per atom
size of the total moment	0.000	μB per formula unit

Cell: 4.827 4.827 4.827 Å, 90.00 90.00 90.00°
Atoms (fractional coordinates):
Rb  0.500  0.500  0.500
Ga  0.500  0.000  0.000
Ga  0.000  0.000  0.500
Ga  0.000  0.500  0.000
Ru  0.000  0.000  0.000

[6]
Compound: HoSnRh
Source: Alexandria
Functional: GGA-PBEsol
Structure: relaxed

Results
VASP energy	-0.49316	Ry per atom
size of the total moment	0.000	μB per formula unit

Cell: 3.714 7.488 7.488 Å, 120.00 90.00 90.00°
Atoms (fractional coordinates):
Sn  0.500  0.736  0.000
Sn  0.500  0.264  0.264
Sn  0.500  0.000  0.736
Ho  0.000  0.000  0.405
Ho  0.000  0.405  0.000
Ho  0.000  0.595  0.595
Rh  0.500  0.667  0.333
Rh  0.000  0.000  0.000
Rh  0.500  0.333  0.667